1.
First-principles (SCAN) data for a crystal of CaFeCo2 relaxed with PBEsol, as listed in Alexandria.

a b c (Å): 5.4564 5.4564 5.4564
angles (deg): 42.43 42.43 42.43
Fractional positions:
Ca  0.0000  0.0000  0.0000
Fe  0.8082  0.8082  0.8082
Co  0.1880  0.1880  0.1880
Co  0.5120  0.5120  0.5120

Symmetry = No. 160
Distance to the lowest polymorph of the same formula = 0.000 eV/atom
DFT formation energy = 0.18 eV/atom

2.
First-principles (SCAN) data for a crystal of ScCo2Ir relaxed with PBEsol, as listed in Alexandria.

a b c (Å): 8.4281 8.4281 8.4281
angles (deg): 18.79 18.79 18.79
Fractional positions:
Sc  0.0000  0.0000  0.0000
Co  0.4918  0.4918  0.4918
Co  0.7525  0.7525  0.7525
Ir  0.2418  0.2418  0.2418

Symmetry = No. 160
DFT formation energy = 0.10 eV/atom

3.
First-principles (SCAN) data for a crystal of KHgPt2 relaxed with PBEsol, as listed in Alexandria.

a b c (Å): 2.8949 2.8949 9.3077
angles (deg): 90.00 90.00 90.00
Fractional positions:
K  0.0000  0.0000  0.0000
Hg  0.5000  0.5000  0.6906
Pt  0.0000  0.0000  0.4658
Pt  0.5000  0.5000  0.2686

Symmetry = No. 99
DFT formation energy = 0.14 eV/atom

4.
First-principles (SCAN) data for a crystal of La5Pb3I relaxed with PBEsol, as listed in Alexandria.

a b c (Å): 9.7333 9.7333 6.9795
angles (deg): 90.00 90.00 120.00
Fractional positions:
La  0.0000  0.2750  0.2500
La  0.0000  0.7250  0.7500
La  0.2750  0.0000  0.2500
La  0.2750  0.2750  0.7500
La  0.3333  0.6667  0.0000
La  0.3333  0.6667  0.5000
La  0.6667  0.3333  0.0000
La  0.6667  0.3333  0.5000
La  0.7250  0.0000  0.7500
La  0.7250  0.7250  0.2500
Pb  0.0000  0.3834  0.7500
Pb  0.0000  0.6166  0.2500
Pb  0.3834  0.0000  0.7500
Pb  0.3834  0.3834  0.2500
Pb  0.6166  0.0000  0.2500
Pb  0.6166  0.6166  0.7500
I  0.0000  0.0000  0.0000
I  0.0000  0.0000  0.5000

Symmetry = No. 193

no.,DFT total energy (eV/atom),total magnetization (μB per formula unit),DOS(E_F) (states/eV per atom)
1,-15.418,5.645,0.89
2,-29.882,3.864,1.00
3,-54.078,0.000,0.82
4,-54.301,2.004,0.50